1.
A relaxed MnAgRu2N crystal, computed with PBE-GGA.

Cell: 4.8605 4.8605 4.6262 Å, 90.00 90.00 90.00°
Last column: nearest neighbours and their distance in Å.
Sites, in units of the cell vectors:
1 Mn 0.0000 0.0000 0.0000  2 Ag 2.31
2 Ag 0.0000 0.0000 0.5000  2 Mn 2.31, 4 Ru 2.43
3 Ru 0.0000 0.5000 0.5000  2 Ag 2.43
4 Ru 0.5000 0.0000 0.5000  2 Ag 2.43
5 N 0.5000 0.5000 0.0000  8 Ru 3.36, 4 Mn 3.44

## Properties
Calculated volume: 21.9 Å³/atom
Density of states at the Fermi level: 10.93 states/eV/f.u.
E: -21.43 eV per formula unit
ΔE_f (raw): 3.494 eV/atom

=====

2.
A relaxed MnAgS2N crystal, computed with PBE-GGA.

Cell: 4.7653 4.7653 3.4673 Å, 90.00 90.00 90.00°
Last column: nearest neighbours and their distance in Å.
Sites, in units of the cell vectors:
1 Mn 0.0000 0.0000 0.0000  2 N 1.73
2 Ag 0.5000 0.5000 0.5000  8 S 2.95
3 S 0.0000 0.5000 0.0000  2 Mn 2.38
4 S 0.5000 0.0000 0.0000  2 Mn 2.38
5 N 0.0000 0.0000 0.5000  2 Mn 1.73

## Properties
Calculated volume: 15.7 Å³/atom
Density of states at the Fermi level: 2.99 states/eV/f.u.
E: -27.06 eV per formula unit
ΔE_f (raw): 0.309 eV/atom

=====

3.
A relaxed MnAgSN2 crystal, computed with PBE-GGA.

Cell: 3.5889 3.5889 5.2243 Å, 90.00 90.00 90.00°
Last column: nearest neighbours and their distance in Å.
Sites, in units of the cell vectors:
1 Mn 0.0000 0.0000 0.0000  4 N 1.79
2 Ag 0.5000 0.5000 0.5000  4 S 2.54
3 S 0.0000 0.0000 0.5000  4 Ag 2.54, 2 Mn 2.61
4 N 0.0000 0.5000 0.0000  2 Mn 1.79
5 N 0.5000 0.0000 0.0000  2 Mn 1.79

## Properties
Calculated volume: 13.5 Å³/atom
Density of states at the Fermi level: 3.20 states/eV/f.u.
E: -29.89 eV per formula unit
ΔE_f (raw): 0.582 eV/atom

=====

4.
A relaxed MnAgS2N crystal, computed with PBE-GGA.

Cell: 4.9497 4.9497 3.8671 Å, 90.00 90.00 90.00°
Last column: nearest neighbours and their distance in Å.
Sites, in units of the cell vectors:
1 Mn 0.0000 0.0000 0.0000  8 S 3.14, 4 N 3.50
2 Ag 0.5000 0.5000 0.5000  2 N 1.93
3 S 0.0000 0.5000 0.5000  2 Ag 2.47
4 S 0.5000 0.0000 0.5000  2 Ag 2.47
5 N 0.5000 0.5000 0.0000  2 Ag 1.93

## Properties
Calculated volume: 18.9 Å³/atom
Density of states at the Fermi level: 6.11 states/eV/f.u.
E: -22.27 eV per formula unit
ΔE_f (raw): 1.266 eV/atom

=====

5.
A relaxed MnAgSN2 crystal, computed with PBE-GGA.

Cell: 3.9819 3.9819 5.5202 Å, 90.00 90.00 90.00°
Last column: nearest neighbours and their distance in Å.
Sites, in units of the cell vectors:
1 Mn 0.0000 0.0000 0.0000  4 S 2.82
2 Ag 0.5000 0.5000 0.5000  4 N 1.99
3 S 0.5000 0.5000 0.0000  2 Ag 2.76, 4 Mn 2.82
4 N 0.0000 0.5000 0.5000  2 Ag 1.99
5 N 0.5000 0.0000 0.5000  2 Ag 1.99

## Properties
Calculated volume: 17.5 Å³/atom
Density of states at the Fermi level: 2.42 states/eV/f.u.
E: -24.02 eV per formula unit
ΔE_f (raw): 1.755 eV/atom

=====

6.
A relaxed MnAgSbN2 crystal, computed with PBE-GGA.

Cell: 4.0966 4.0966 5.0419 Å, 90.00 90.00 90.00°
Last column: nearest neighbours and their distance in Å.
Sites, in units of the cell vectors:
1 Mn 0.0000 0.0000 0.0000  2 Sb 2.52
2 Ag 0.5000 0.5000 0.0000  4 Mn 2.90
3 Sb 0.0000 0.0000 0.5000  4 N 2.05
4 N 0.0000 0.5000 0.5000  2 Sb 2.05
5 N 0.5000 0.0000 0.5000  2 Sb 2.05

## Properties
Calculated volume: 16.9 Å³/atom
Density of states at the Fermi level: 6.55 states/eV/f.u.
E: -23.01 eV per formula unit
ΔE_f (raw): 1.958 eV/atom